Crystalline HgGeOsO6 at its relaxed geometry, computed with GGA-PBE.

Computed properties:
Magnetic moment in μB per formula unit: 0.1
Raw total energy in eV/atom: -6.0647
Density of states at the Fermi level in states/eV/atom: 0.429
Crystal system: trigonal
Energy relative to the elements, uncorrected in kJ per mole of atoms: -93

```
9
Lattice="5.174 0.000 0.000 2.587 4.481 0.000 0.000 0.000 4.964" Properties=species:S:1:pos:R:3 pbc="T T T"
O 4.555 4.478 3.540
Os 5.174 2.987 2.482
Ge 2.587 1.494 2.482
O 6.156 1.706 1.424
O 4.193 1.706 3.540
O 6.775 2.778 3.540
Hg 5.174 0.000 4.963
O 5.794 4.478 1.424
O 3.574 2.779 1.424
```